DFT (GGA+U) results for a relaxed structure of PuTlFeF6.

Properties
Total moment: 1.008 μB per atom
Uncorrected energy: -6.3834 eV/atom
Volume: 19.68 Å³ per atom
Crystal system: trigonal

a = 6.0473 Å, b = 6.0473 Å, c = 11.1833 Å
α = 90.00°, β = 90.00°, γ = 120.00°
Space group P-31c (No. 163)
Unique sites:
1 Pu 0.3333 0.6667 0.2500 (multiplicity 2)
2 Tl 0.0000 0.0000 0.0000 (multiplicity 2)
3 Fe 0.3333 0.6667 0.7500 (multiplicity 2)
4 F 0.0248 0.3895 0.6490 (multiplicity 12)